Entry from Alexandria: a relaxed structure of GdZr2Tl (GGA-PBE).

E above lowest polymorph: 0.0 meV per atom
calculated total energy: -8.444 eV/atom
DFT formation energy: -0.058 eV per atom
crystal system: tetragonal

```
data_GdZr2Tl
_chemical_formula_sum 'Gd1 Zr2 Tl1'
_cell_length_a 4.619
_cell_length_b 4.619
_cell_length_c 4.559
_cell_angle_alpha 90.00
_cell_angle_beta 90.00
_cell_angle_gamma 90.00
_space_group_name_H-M_alt 'P 4/m m m'
_space_group_IT_number 123
_space_group_name_Hall '-P 4 2'
loop_
_atom_site_label
_atom_site_type_symbol
_atom_site_fract_x
_atom_site_fract_y
_atom_site_fract_z
Gd1 Gd 0.000 0.000 0.000
Zr1 Zr 0.000 0.500 0.500
Tl1 Tl 0.500 0.500 0.000
```

Entry from Alexandria: a relaxed structure of SnTeW2 (GGA-PBE).

E above lowest polymorph: 0.0 meV per atom
calculated total energy: -7.503 eV/atom
crystal system: cubic

```
data_SnTeW2
_chemical_formula_sum 'Sn4 Te4 W8'
_cell_length_a 6.661
_cell_length_b 6.661
_cell_length_c 6.661
_cell_angle_alpha 90.00
_cell_angle_beta 90.00
_cell_angle_gamma 90.00
_space_group_name_H-M_alt 'F m -3 m'
_space_group_IT_number 225
_space_group_name_Hall '-F 4 2 3'
loop_
_atom_site_label
_atom_site_type_symbol
_atom_site_fract_x
_atom_site_fract_y
_atom_site_fract_z
Sn1 Sn 0.000 0.000 0.000
Te1 Te 0.000 0.000 0.500
W1 W 0.250 0.250 0.250
```